Model i:
## KCr2S4 (PBE)

Data for a geometry-optimized KCr2S4 structure.

a b c (Å): 10.7689 10.7689 10.7689
angles (deg): 90.00 90.00 90.00
Space group Fd-3m (No. 227, origin choice 2)
Symmetry-distinct sites (fractional):
K1 0.1250 0.1250 0.1250
Cr1 0.0000 0.0000 0.5000
S1 0.0258 0.0258 0.7242

Results
- Theoretical density: 2.89 g/cm3
- Total magnetic moment: 0.712 μB per atom



Model ii:
## KCr2S4 (PBE)

Data for a geometry-optimized KCr2S4 structure.

a b c (Å): 13.3500 3.4360 13.8184
angles (deg): 90.00 90.00 90.00
Space group Pnma (No. 62)
Symmetry-distinct sites (fractional):
K1 0.1054 0.2500 0.1413
Cr1 0.1031 0.7500 0.4591
Cr2 0.2027 0.7500 0.8885
S1 0.0018 0.7500 0.5998
S2 0.0896 0.2500 0.9080
S3 0.2016 0.7500 0.3127
S4 0.2113 0.2500 0.5268

Results
- Theoretical density: 2.84 g/cm3
- Total magnetic moment: 0.714 μB per atom



Stability ranking, top and bottom: model ii is the most stable and model i is the least stable.



Model i:
## KCr3S (PBE)

Data for a geometry-optimized KCr3S structure.

a b c (Å): 4.5345 4.5345 4.5345
angles (deg): 90.00 90.00 90.00
Space group Pm-3m (No. 221)
Symmetry-distinct sites (fractional):
K1 0.0000 0.0000 0.0000
Cr1 0.0000 0.5000 0.5000
S1 0.5000 0.5000 0.5000

Results
- Theoretical density: 4.05 g/cm3
- Total magnetic moment: 1.669 μB per atom



Model ii:
## KCr3S (PBE)

Data for a geometry-optimized KCr3S structure.

a b c (Å): 5.3839 5.3839 5.3839
angles (deg): 90.00 90.00 90.00
Space group Pm-3m (No. 221)
Symmetry-distinct sites (fractional):
K1 0.0000 0.0000 0.0000
Cr1 0.0000 0.0000 0.5000
S1 0.5000 0.5000 0.5000

Results
- Theoretical density: 2.42 g/cm3
- Total magnetic moment: 3.029 μB per atom



Stability ranking, top and bottom: model i is the most stable and model ii is the least stable.



Model i:
## K2CrS4 (PBE)

Data for a geometry-optimized K2CrS4 structure.

a b c (Å): 4.6593 4.6593 16.0555
angles (deg): 90.00 90.00 90.00
Space group I4/mmm (No. 139)
Symmetry-distinct sites (fractional):
K1 0.0000 0.0000 0.1507
Cr1 0.0000 0.0000 0.5000
S1 0.0000 0.0000 0.3555
S2 0.0000 0.5000 0.0000

Results
- Theoretical density: 2.46 g/cm3
- Total magnetic moment: 0.003 μB per atom



Model ii:
## K2CrS4 (PBE)

Data for a geometry-optimized K2CrS4 structure.

a b c (Å): 9.4765 6.7562 11.9396
angles (deg): 90.00 90.00 90.00
Space group Pnma (No. 62)
Symmetry-distinct sites (fractional):
K1 0.0413 0.2500 0.1603
K2 0.1549 0.7500 0.3915
Cr1 0.2486 0.7500 0.0743
S1 0.0320 0.7500 0.1109
S2 0.1568 0.0019 0.6445
S3 0.2159 0.2500 0.4019

Results
- Theoretical density: 2.25 g/cm3
- Total magnetic moment: 0.000 μB per atom



Stability ranking, top and bottom: model ii is the most stable and model i is the least stable.



Model i:
## KCrSb2Te (PBE)

Data for a geometry-optimized KCrSb2Te structure.

a b c (Å): 5.8259 5.8259 5.9030
angles (deg): 90.00 90.00 90.00
Space group P4/mmm (No. 123)
Symmetry-distinct sites (fractional):
K1 0.0000 0.0000 0.0000
Cr1 0.5000 0.5000 0.5000
Sb1 0.0000 0.5000 0.0000
Te1 0.0000 0.0000 0.5000

Results
- Theoretical density: 3.83 g/cm3
- Total magnetic moment: 0.818 μB per atom



Model ii:
## KCrSb2Te (PBE)

Data for a geometry-optimized KCrSb2Te structure.

a b c (Å): 5.1280 5.1280 5.8203
angles (deg): 90.00 90.00 90.00
Space group P4/mmm (No. 123)
Symmetry-distinct sites (fractional):
K1 0.0000 0.0000 0.0000
Cr1 0.5000 0.5000 0.5000
Sb1 0.0000 0.5000 0.5000
Te1 0.5000 0.5000 0.0000

Results
- Theoretical density: 5.01 g/cm3
- Total magnetic moment: 0.499 μB per atom



Stability ranking, top and bottom: model ii is the most stable and model i is the least stable.



Model i:
## K2ScCr (PBE)

Data for a geometry-optimized K2ScCr structure.

a b c (Å): 3.5033 3.5033 38.6243
angles (deg): 90.00 90.00 120.00
Space group R-3m (No. 166, hexagonal axes)
Symmetry-distinct sites (fractional):
K1 0.0000 0.0000 0.2449
Sc1 0.0000 0.0000 0.0000
Cr1 0.0000 0.0000 0.5000

Results
- Theoretical density: 2.13 g/cm3
- Total magnetic moment: 1.397 μB per atom



Model ii:
## K2ScCr (PBE)

Data for a geometry-optimized K2ScCr structure.

a b c (Å): 4.6186 4.6186 6.3110
angles (deg): 90.00 90.00 90.00
Space group P4/mmm (No. 123)
Symmetry-distinct sites (fractional):
K1 0.0000 0.5000 0.0000
Sc1 0.0000 0.0000 0.5000
Cr1 0.5000 0.5000 0.5000

Results
- Theoretical density: 2.16 g/cm3
- Total magnetic moment: 1.105 μB per atom



Model iii:
## K2ScCr (PBE)

Data for a geometry-optimized K2ScCr structure.

a b c (Å): 12.0700 12.0700 5.2928
angles (deg): 90.00 90.00 90.00
Space group I-42d (No. 122)
Symmetry-distinct sites (fractional):
K1 0.1228 0.2500 0.1250
Sc1 0.0000 0.0000 0.5000
Cr1 0.0000 0.0000 0.0000

Results
- Theoretical density: 1.51 g/cm3
- Total magnetic moment: 0.986 μB per atom



Model iv:
## K2ScCr (PBE)

Data for a geometry-optimized K2ScCr structure.

a b c (Å): 3.3800 3.3800 12.4114
angles (deg): 90.00 90.00 90.00
Space group P4/mmm (No. 123)
Symmetry-distinct sites (fractional):
K1 0.0000 0.0000 0.2297
Sc1 0.5000 0.5000 0.5000
Cr1 0.5000 0.5000 0.0000

Results
- Theoretical density: 2.05 g/cm3
- Total magnetic moment: 1.326 μB per atom



Stability ranking, top and bottom: model ii is the most stable and model iii is the least stable.



Model i:
## KScCr2 (PBE)

Data for a geometry-optimized KScCr2 structure.

a b c (Å): 3.2234 3.2234 31.6239
angles (deg): 90.00 90.00 120.00
Space group R-3m (No. 166, hexagonal axes)
Symmetry-distinct sites (fractional):
K1 0.0000 0.0000 0.0000
Sc1 0.0000 0.0000 0.5000
Cr1 0.0000 0.0000 0.2365

Results
- Theoretical density: 3.29 g/cm3
- Total magnetic moment: 1.740 μB per atom



Model ii:
## KScCr2 (PBE)

Data for a geometry-optimized KScCr2 structure.

a b c (Å): 7.7544 3.0650 8.5134
angles (deg): 90.00 92.45 90.00
Space group Cm (No. 8)
Symmetry-distinct sites (fractional):
K1 0.0000 0.0000 0.0000
Sc1 0.2275 0.0000 0.6043
Cr1 0.2519 0.5000 0.3218
Cr2 0.4852 0.0000 0.4143

Results
- Theoretical density: 3.09 g/cm3
- Total magnetic moment: 0.035 μB per atom



Model iii:
## KScCr2 (PBE)

Data for a geometry-optimized KScCr2 structure.

a b c (Å): 7.7682 7.8996 3.2227
angles (deg): 90.00 90.00 90.00
Space group Cmmm (No. 65)
Symmetry-distinct sites (fractional):
K1 0.0000 0.0000 0.0000
Sc1 0.0000 0.5000 0.0000
Cr1 0.2500 0.2500 0.5000

Results
- Theoretical density: 3.16 g/cm3
- Total magnetic moment: 2.170 μB per atom



Stability ranking, top and bottom: model ii is the most stable and model iii is the least stable.



Model i:
## KScCr2 (PBE)

Data for a geometry-optimized KScCr2 structure.

a b c (Å): 3.1434 3.1434 9.2933
angles (deg): 90.00 90.00 90.00
Space group P4mm (No. 99)
Symmetry-distinct sites (fractional):
K1 0.0000 0.0000 0.0000
Sc1 0.5000 0.5000 0.3858
Cr1 0.0000 0.0000 0.5775
Cr2 0.5000 0.5000 0.6932

Results
- Theoretical density: 3.40 g/cm3
- Total magnetic moment: 0.377 μB per atom



Model ii:
## KScCr2 (PBE)

Data for a geometry-optimized KScCr2 structure.

a b c (Å): 3.2652 5.6749 10.4910
angles (deg): 90.00 90.00 90.00
Space group Immm (No. 71)
Symmetry-distinct sites (fractional):
K1 0.0000 0.0000 0.0000
Sc1 0.0000 0.0000 0.5000
Cr1 0.0000 0.5000 0.2250

Results
- Theoretical density: 3.21 g/cm3
- Total magnetic moment: 1.812 μB per atom



Stability ranking, top and bottom: model i is the most stable and model ii is the least stable.



Model i:
## KScCr2 (PBE)

Data for a geometry-optimized KScCr2 structure.

a b c (Å): 4.5185 4.5185 20.8651
angles (deg): 90.00 90.00 90.00
Space group I-42d (No. 122)
Symmetry-distinct sites (fractional):
K1 0.0000 0.0000 0.0000
Sc1 0.0000 0.0000 0.5000
Cr1 0.2039 0.7500 0.6250

Results
- Theoretical density: 2.93 g/cm3
- Total magnetic moment: 1.906 μB per atom



Model ii:
## KScCr2 (PBE)

Data for a geometry-optimized KScCr2 structure.

a b c (Å): 7.3527 7.3527 7.3527
angles (deg): 90.00 90.00 90.00
Space group Fm-3m (No. 225)
Symmetry-distinct sites (fractional):
K1 0.0000 0.0000 0.0000
Sc1 0.0000 0.0000 0.5000
Cr1 0.2500 0.2500 0.2500

Results
- Theoretical density: 3.14 g/cm3
- Total magnetic moment: 2.064 μB per atom



Model iii:
## KScCr2 (PBE)

Data for a geometry-optimized KScCr2 structure.

a b c (Å): 3.4014 3.4014 8.8549
angles (deg): 90.00 90.00 90.00
Space group P4/mmm (No. 123)
Symmetry-distinct sites (fractional):
K1 0.0000 0.0000 0.0000
Sc1 0.0000 0.0000 0.5000
Cr1 0.5000 0.5000 0.3140

Results
- Theoretical density: 3.05 g/cm3
- Total magnetic moment: 2.124 μB per atom



Model iv:
## KScCr2 (PBE)

Data for a geometry-optimized KScCr2 structure.

a b c (Å): 7.1178 7.1178 7.1178
angles (deg): 90.00 90.00 90.00
Space group F-43m (No. 216)
Symmetry-distinct sites (fractional):
K1 0.0000 0.0000 0.0000
Sc1 0.2500 0.2500 0.7500
Cr1 0.0000 0.0000 0.5000
Cr2 0.2500 0.2500 0.2500

Results
- Theoretical density: 3.46 g/cm3
- Total magnetic moment: 0.220 μB per atom



Stability ranking, top and bottom: model iii is the most stable and model i is the least stable.



Model i:
## KScCr2 (PBE)

Data for a geometry-optimized KScCr2 structure.

a b c (Å): 3.1158 5.5827 11.4856
angles (deg): 90.00 90.00 90.00
Space group Imm2 (No. 44)
Symmetry-distinct sites (fractional):
K1 0.0000 0.0000 0.0000
Sc1 0.0000 0.5000 0.7949
Cr1 0.0000 0.0000 0.5128
Cr2 0.0000 0.5000 0.2276

Results
- Theoretical density: 3.13 g/cm3
- Total magnetic moment: 1.956 μB per atom



Model ii:
## KScCr2 (PBE)

Data for a geometry-optimized KScCr2 structure.

a b c (Å): 9.3960 3.0321 7.7537
angles (deg): 90.00 94.40 90.00
Space group C2/m (No. 12)
Symmetry-distinct sites (fractional):
K1 0.0000 0.0000 0.0000
Sc1 0.0000 0.5000 0.5000
Cr1 0.2387 0.0000 0.6499

Results
- Theoretical density: 2.84 g/cm3
- Total magnetic moment: 1.801 μB per atom



Stability ranking, top and bottom: model ii is the most stable and model i is the least stable.



Model i:
## KSc2Cr (PBE)

Data for a geometry-optimized KSc2Cr structure.

a b c (Å): 3.3065 3.3065 33.3063
angles (deg): 90.00 90.00 120.00
Space group R-3m (No. 166, hexagonal axes)
Symmetry-distinct sites (fractional):
K1 0.0000 0.0000 0.0000
Sc1 0.0000 0.0000 0.2278
Cr1 0.0000 0.0000 0.5000

Results
- Theoretical density: 2.86 g/cm3
- Total magnetic moment: 0.651 μB per atom



Model ii:
## KSc2Cr (PBE)

Data for a geometry-optimized KSc2Cr structure.

a b c (Å): 7.3803 7.3803 7.3803
angles (deg): 90.00 90.00 90.00
Space group Fm-3m (No. 225)
Symmetry-distinct sites (fractional):
K1 0.0000 0.0000 0.0000
Sc1 0.2500 0.2500 0.2500
Cr1 0.0000 0.0000 0.5000

Results
- Theoretical density: 2.99 g/cm3
- Total magnetic moment: 1.075 μB per atom



Stability ranking, top and bottom: model i is the most stable and model ii is the least stable.